Entry from Alexandria via LeMat-Bulk: a relaxed AgAu2I2 crystal (PBEsol).

Computed properties:
- calculated total energy (eV per atom) = -2.26
- Fermi-level density of states (states/eV/atom) = 0.3978

```
data_AgAu2I2
_chemical_formula_sum 'Ag2 Au4 I4'
_symmetry_space_group_name_H-M 'I 4/m m m'
_symmetry_Int_Tables_number 139
_symmetry_space_group_name_Hall '-I 4 2'
_cell_length_a 4.684
_cell_length_b 4.684
_cell_length_c 12.390
_cell_angle_alpha 90.00
_cell_angle_beta 90.00
_cell_angle_gamma 90.00
loop_
_atom_site_label
_atom_site_type_symbol
_atom_site_fract_x
_atom_site_fract_y
_atom_site_fract_z
Ag1 Ag 0.000 0.000 0.000
Au1 Au 0.000 0.000 0.397
I1 I 0.000 0.500 0.250
```

***

Entry from Alexandria via LeMat-Bulk: a relaxed AgAuI2 crystal (PBEsol).

Computed properties:
- calculated total energy (eV per atom) = -2.72
- Fermi-level density of states (states/eV/atom) = 0.0047

```
data_AgAuI2
_chemical_formula_sum 'Ag4 Au4 I8'
_symmetry_space_group_name_H-M 'I -4 2 d'
_symmetry_Int_Tables_number 122
_symmetry_space_group_name_Hall 'I -4 2bw'
_cell_length_a 6.393
_cell_length_b 6.393
_cell_length_c 12.811
_cell_angle_alpha 90.00
_cell_angle_beta 90.00
_cell_angle_gamma 90.00
loop_
_atom_site_label
_atom_site_type_symbol
_atom_site_fract_x
_atom_site_fract_y
_atom_site_fract_z
Ag1 Ag 0.000 0.000 0.000
Au1 Au 0.000 0.000 0.500
I1 I 0.246 0.250 0.625
```

***

Entry from Alexandria via LeMat-Bulk: a relaxed AgAuI4O12 crystal (PBEsol).

Computed properties:
- calculated total energy (eV per atom) = -4.57

```
data_AgAuI4O12
_chemical_formula_sum 'Ag2 Au2 I8 O24'
_symmetry_space_group_name_H-M 'P 1 c 1'
_symmetry_Int_Tables_number 7
_cell_length_a 7.841
_cell_length_b 5.645
_cell_length_c 12.569
_cell_angle_alpha 90.00
_cell_angle_beta 107.19
_cell_angle_gamma 90.00
loop_
_symmetry_equiv_pos_as_xyz
'x,y,z'
'x,-y,z+1/2'
loop_
_atom_site_label
_atom_site_type_symbol
_atom_site_fract_x
_atom_site_fract_y
_atom_site_fract_z
Ag1 Ag 0.000 0.137 0.000
Au1 Au 0.535 0.250 0.031
I1 I 0.224 0.387 0.359
I2 I 0.350 0.075 0.694
I3 I 0.715 0.421 0.365
I4 I 0.846 0.129 0.701
O1 O 0.150 0.089 0.209
O2 O 0.202 0.422 0.738
O3 O 0.243 0.139 0.549
O4 O 0.287 0.364 0.966
O5 O 0.448 0.252 0.384
O6 O 0.472 0.209 0.171
O7 O 0.606 0.289 0.893
O8 O 0.623 0.259 0.675
O9 O 0.783 0.133 0.098
O10 O 0.825 0.337 0.506
O11 O 0.869 0.063 0.324
O12 O 0.918 0.413 0.847
```

***

Entry from Alexandria via LeMat-Bulk: a relaxed AgSbAuI2 crystal (PBEsol).

Computed properties:
- calculated total energy (eV per atom) = -2.30
- Fermi-level density of states (states/eV/atom) = 0.9905

```
data_AgSbAuI2
_chemical_formula_sum 'Ag1 Sb1 Au1 I2'
_symmetry_space_group_name_H-M 'P 4/m m m'
_symmetry_Int_Tables_number 123
_symmetry_space_group_name_Hall '-P 4 2'
_cell_length_a 5.409
_cell_length_b 5.409
_cell_length_c 5.387
_cell_angle_alpha 90.00
_cell_angle_beta 90.00
_cell_angle_gamma 90.00
loop_
_atom_site_label
_atom_site_type_symbol
_atom_site_fract_x
_atom_site_fract_y
_atom_site_fract_z
Ag1 Ag 0.000 0.000 0.000
Sb1 Sb 0.000 0.000 0.500
Au1 Au 0.500 0.500 0.500
I1 I 0.000 0.500 0.000
```

***

Entry from Alexandria via LeMat-Bulk: a relaxed SiAgAu2I crystal (PBEsol).

Computed properties:
- calculated total energy (eV per atom) = -2.66
- Fermi-level density of states (states/eV/atom) = 0.6162

```
data_SiAgAu2I
_chemical_formula_sum 'Si1 Ag1 Au2 I1'
_symmetry_space_group_name_H-M 'P 4/m m m'
_symmetry_Int_Tables_number 123
_symmetry_space_group_name_Hall '-P 4 2'
_cell_length_a 5.028
_cell_length_b 5.028
_cell_length_c 5.309
_cell_angle_alpha 90.00
_cell_angle_beta 90.00
_cell_angle_gamma 90.00
loop_
_atom_site_label
_atom_site_type_symbol
_atom_site_fract_x
_atom_site_fract_y
_atom_site_fract_z
Si1 Si 0.000 0.000 0.000
Ag1 Ag 0.500 0.500 0.500
Au1 Au 0.000 0.500 0.500
I1 I 0.500 0.500 0.000
```

***

Entry from Alexandria via LeMat-Bulk: a relaxed InAg2Au crystal (PBEsol).

Computed properties:
- formation enthalpy at 0 K (kJ/mol of formula units) = -36.3
- Fermi-level density of states (states/eV/atom) = 0.2191

```
data_InAg2Au
_chemical_formula_sum 'In1 Ag2 Au1'
_symmetry_space_group_name_H-M 'P m m 2'
_symmetry_Int_Tables_number 25
_cell_length_a 3.162
_cell_length_b 4.638
_cell_length_c 4.856
_cell_angle_alpha 90.00
_cell_angle_beta 90.00
_cell_angle_gamma 90.00
loop_
_symmetry_equiv_pos_as_xyz
'x,y,z'
'-x,-y,z'
'-x,y,z'
'x,-y,z'
loop_
_atom_site_label
_atom_site_type_symbol
_atom_site_fract_x
_atom_site_fract_y
_atom_site_fract_z
In1 In 0.000 0.000 0.000
Ag1 Ag 0.000 0.500 0.378
Ag2 Ag 0.500 0.000 0.500
Au1 Au 0.500 0.500 0.871
```

***

Entry from Alexandria via LeMat-Bulk: a relaxed InAgAu2 crystal (PBEsol).

Computed properties:
- formation enthalpy at 0 K (kJ/mol of formula units) = -32.2
- Fermi-level density of states (states/eV/atom) = 0.2709

```
data_InAgAu2
_chemical_formula_sum 'In2 Ag2 Au4'
_symmetry_space_group_name_H-M 'C 1 2/m 1'
_symmetry_Int_Tables_number 12
_cell_length_a 9.598
_cell_length_b 3.188
_cell_length_c 4.821
_cell_angle_alpha 90.00
_cell_angle_beta 104.50
_cell_angle_gamma 90.00
loop_
_symmetry_equiv_pos_as_xyz
'x,y,z'
'-x,-y,-z'
'-x,y,-z'
'x,-y,z'
'x+1/2,y+1/2,z'
'-x+1/2,-y+1/2,-z'
'-x+1/2,y+1/2,-z'
'x+1/2,-y+1/2,z'
loop_
_atom_site_label
_atom_site_type_symbol
_atom_site_fract_x
_atom_site_fract_y
_atom_site_fract_z
In1 In 0.000 0.000 0.000
Ag1 Ag 0.000 0.500 0.500
Au1 Au 0.250 0.000 0.747
```

***

Entry from Alexandria via LeMat-Bulk: a relaxed InAg2Au crystal (PBEsol).

Computed properties:
- formation enthalpy at 0 K (kJ/mol of formula units) = -41.0
- Fermi-level density of states (states/eV/atom) = 0.2606

```
data_InAg2Au
_chemical_formula_sum 'In4 Ag8 Au4'
_symmetry_space_group_name_H-M 'F -4 3 m'
_symmetry_Int_Tables_number 216
_symmetry_space_group_name_Hall 'F -4 2 3'
_cell_length_a 6.568
_cell_length_b 6.568
_cell_length_c 6.568
_cell_angle_alpha 90.00
_cell_angle_beta 90.00
_cell_angle_gamma 90.00
loop_
_atom_site_label
_atom_site_type_symbol
_atom_site_fract_x
_atom_site_fract_y
_atom_site_fract_z
In1 In 0.000 0.000 0.000
Ag1 Ag 0.000 0.000 0.500
Ag2 Ag 0.250 0.250 0.750
Au1 Au 0.250 0.250 0.250
```

***

Entry from Alexandria via LeMat-Bulk: a relaxed InAg2Au crystal (PBEsol).

Computed properties:
- formation enthalpy at 0 K (kJ/mol of formula units) = -25.3
- Fermi-level density of states (states/eV/atom) = 0.2895

```
data_InAg2Au
_chemical_formula_sum 'In2 Ag4 Au2'
_symmetry_space_group_name_H-M 'C m m m'
_symmetry_Int_Tables_number 65
_symmetry_space_group_name_Hall '-C 2 2'
_cell_length_a 5.764
_cell_length_b 8.356
_cell_length_c 2.948
_cell_angle_alpha 90.00
_cell_angle_beta 90.00
_cell_angle_gamma 90.00
loop_
_atom_site_label
_atom_site_type_symbol
_atom_site_fract_x
_atom_site_fract_y
_atom_site_fract_z
In1 In 0.000 0.000 0.000
Ag1 Ag 0.250 0.250 0.500
Au1 Au 0.000 0.500 0.000
```

***

Entry from Alexandria via LeMat-Bulk: a relaxed InAgAu2 crystal (PBEsol).

Computed properties:
- formation enthalpy at 0 K (kJ/mol of formula units) = -55.7
- Fermi-level density of states (states/eV/atom) = 0.2669

```
data_InAgAu2
_chemical_formula_sum 'In2 Ag2 Au4'
_symmetry_space_group_name_H-M 'I -4 m 2'
_symmetry_Int_Tables_number 119
_symmetry_space_group_name_Hall 'I -4 -2'
_cell_length_a 4.083
_cell_length_b 4.083
_cell_length_c 8.502
_cell_angle_alpha 90.00
_cell_angle_beta 90.00
_cell_angle_gamma 90.00
loop_
_atom_site_label
_atom_site_type_symbol
_atom_site_fract_x
_atom_site_fract_y
_atom_site_fract_z
In1 In 0.000 0.000 0.000
Ag1 Ag 0.000 0.500 0.250
Au1 Au 0.000 0.000 0.500
Au2 Au 0.000 0.500 0.750
```

***

Entry from Alexandria via LeMat-Bulk: a relaxed InAg2Au2 crystal (PBEsol).

Computed properties:
- formation enthalpy at 0 K (kJ/mol of formula units) = 19.2
- Fermi-level density of states (states/eV/atom) = 0.2816

```
data_InAg2Au2
_chemical_formula_sum 'In2 Ag4 Au4'
_symmetry_space_group_name_H-M 'I 4/m m m'
_symmetry_Int_Tables_number 139
_symmetry_space_group_name_Hall '-I 4 2'
_cell_length_a 3.780
_cell_length_b 3.780
_cell_length_c 13.707
_cell_angle_alpha 90.00
_cell_angle_beta 90.00
_cell_angle_gamma 90.00
loop_
_atom_site_label
_atom_site_type_symbol
_atom_site_fract_x
_atom_site_fract_y
_atom_site_fract_z
In1 In 0.000 0.000 0.000
Ag1 Ag 0.000 0.500 0.250
Au1 Au 0.000 0.000 0.401
```

***

Entry from Alexandria via LeMat-Bulk: a relaxed InAg2Au crystal (PBEsol).

Computed properties:
- formation enthalpy at 0 K (kJ/mol of formula units) = -16.0
- Fermi-level density of states (states/eV/atom) = 0.2960

```
data_InAg2Au
_chemical_formula_sum 'In1 Ag2 Au1'
_symmetry_space_group_name_H-M 'P 1 2/m 1'
_symmetry_Int_Tables_number 10
_cell_length_a 2.905
_cell_length_b 4.822
_cell_length_c 5.124
_cell_angle_alpha 90.00
_cell_angle_beta 94.91
_cell_angle_gamma 90.00
loop_
_symmetry_equiv_pos_as_xyz
'x,y,z'
'-x,-y,-z'
'-x,y,-z'
'x,-y,z'
loop_
_atom_site_label
_atom_site_type_symbol
_atom_site_fract_x
_atom_site_fract_y
_atom_site_fract_z
In1 In 0.000 0.000 0.000
Ag1 Ag 0.249 0.500 0.747
Au1 Au 0.500 0.000 0.500
```